Entry 1:
## MgH5Rh (PBE)

Data for a geometry-optimized MgH5Rh structure.

Output
For the magnetization, the calculation gives 0.00 μB per formula unit. As for the theoretical density: 3.8 g/cm³.

a b c (Å): 4.6446 4.6446 6.5905
angles (deg): 73.45 73.45 110.28
Last column: nearest neighbours and their distance in Å.
Element x y z (fractional)
H: 0.2859 0.1685 0.0926  1 Rh 1.66
H: 0.1886 0.7655 0.9638  1 Rh 1.64, 1 H 1.65
H: 0.2655 0.6886 0.4638  1 Rh 1.64, 1 H 1.65
H: 0.8114 0.2345 0.0362  1 Rh 1.64, 1 H 1.65
H: 0.7345 0.3114 0.5362  1 Rh 1.64, 1 H 1.65
Mg: 0.9095 0.5905 0.7500  4 H 1.93-2.00
Rh: 0.5000 0.5000 0.5000  6 H 1.64-1.71
H: 0.7141 0.8315 0.9074  1 Rh 1.66
H: 0.3540 0.1460 0.7500  2 H 1.65, 2 Rh 1.71
H: 0.6460 0.8540 0.2500  2 H 1.65, 2 Rh 1.71
H: 0.6685 0.7859 0.5926  1 Rh 1.66
H: 0.3315 0.2141 0.4074  1 Rh 1.66
Rh: 0.0000 0.0000 0.0000  6 H 1.64-1.71
Mg: 0.0905 0.4095 0.2500  4 H 1.93-2.00

Entry 2:
## MgHRh3 (PBE)

Data for a geometry-optimized MgHRh3 structure.

Output
For the magnetization, the calculation gives 0.00 μB per formula unit. As for the theoretical density: 9.0 g/cm³. The value obtained for the density of states at the Fermi level is 11.95 states/eV/cell. The energy above the most stable polymorph in this dataset is 79 meV per atom.

a b c (Å): 18.0276 8.5536 8.5536
angles (deg): 153.92 162.13 17.87
Last column: nearest neighbours and their distance in Å.
Element x y z (fractional)
Rh: 0.8081 0.1339 0.8661  1 H 1.81
Rh: 0.1919 0.8661 0.1339  1 H 1.81
Rh: 0.4411 0.3676 0.6324  2 H 2.00-2.02
Rh: 0.5589 0.6324 0.3676  2 H 2.00-2.02
H: 0.9175 0.9127 0.0873  5 Rh 1.81-2.02
Mg: 0.6808 0.8883 0.1117  10 Rh 2.76-2.82, 2 Mg 2.99
H: 0.0825 0.0873 0.9127  5 Rh 1.81-2.02
Mg: 0.3192 0.1117 0.8883  10 Rh 2.76-2.82, 2 Mg 2.99
Rh: 0.9409 0.3692 0.6308  2 H 1.96
Rh: 0.0591 0.6308 0.3692  2 H 1.96

Entry 3:
## MgH3Rh2 (PBE)

Data for a geometry-optimized MgH3Rh2 structure.

Output
For the magnetization, the calculation gives 0.00 μB per formula unit. As for the theoretical density: 7.2 g/cm³. The value obtained for the density of states at the Fermi level is 5.22 states/eV/cell. The energy above the most stable polymorph in this dataset is 55 meV per atom.

a b c (Å): 5.6535 4.6962 4.6962
angles (deg): 60.07 90.00 90.00
Last column: nearest neighbours and their distance in Å.
Element x y z (fractional)
H: 0.2500 0.0007 0.9993  4 Rh 1.96
H: 0.2500 0.5010 0.9992  4 Rh 1.96
H: 0.2500 0.0008 0.4990  4 Rh 1.96
H: 0.7500 0.4990 0.0008  4 Rh 1.96
H: 0.7500 0.9992 0.5010  4 Rh 1.96
Rh: 0.5000 0.8332 0.8332  6 H 1.96
H: 0.7500 0.9993 0.0007  4 Rh 1.96
Rh: 0.0000 0.8332 0.8332  6 H 1.96
Mg: 0.7500 0.4999 0.5001  6 H 2.35
Rh: 0.5000 0.1668 0.1668  6 H 1.96
Rh: 0.0000 0.1668 0.1668  6 H 1.96
Mg: 0.2500 0.5001 0.4999  6 H 2.35

Entry 4:
## Mg4HRh (PBE)

Data for a geometry-optimized Mg4HRh structure.

Output
For the magnetization, the calculation gives 0.00 μB per formula unit. As for the theoretical density: 3.2 g/cm³. The value obtained for the density of states at the Fermi level is 4.13 states/eV/cell.

a b c (Å): 5.7575 5.7487 7.5786
angles (deg): 112.35 112.39 89.85
Last column: nearest neighbours and their distance in Å.
Element x y z (fractional)
Rh: 0.6250 0.3750 0.7501  8 Mg 2.64-2.67
Mg: 0.3405 0.6768 0.9059  1 H 2.04
H: 0.8754 0.1254 0.2507  4 Mg 2.04
Mg: 0.2294 0.3408 0.4054  1 H 2.04
Mg: 0.9347 0.7709 0.0941  1 H 2.04
H: 0.1246 0.8746 0.7493  4 Mg 2.04
Rh: 0.3750 0.6250 0.2499  8 Mg 2.64-2.67
Mg: 0.7706 0.6592 0.5946  1 H 2.04
Mg: 0.0653 0.2291 0.9059  1 H 2.04
Mg: 0.6759 0.0645 0.4054  1 H 2.04
Mg: 0.3241 0.9355 0.5946  1 H 2.04
Mg: 0.6595 0.3232 0.0941  1 H 2.04

Entry 5:
## MgHRh3 (PBE)

Data for a geometry-optimized MgHRh3 structure.

Output
For the magnetization, the calculation gives 0.00 μB per formula unit. As for the theoretical density: 6.2 g/cm³. The value obtained for the density of states at the Fermi level is 7.09 states/eV/cell. The energy above the most stable polymorph in this dataset is 716 meV per atom.

a b c (Å): 3.7504 3.7504 6.3952
angles (deg): 90.00 90.00 90.00
Last column: nearest neighbours and their distance in Å.
Element x y z (fractional)
Rh: 0.0000 0.5000 0.4737  2 H 1.91
Rh: 0.0000 0.0000 0.7454  4 Rh 2.56, 1 Mg 2.63
Rh: 0.5000 0.0000 0.4737  2 H 1.91
H: 0.5000 0.5000 0.4147  4 Rh 1.91
Mg: 0.0000 0.0000 0.1562  5 Rh 2.63-2.76

Entry 6:
## MgH4Rh (PBE)

Data for a geometry-optimized MgH4Rh structure.

Output
For the magnetization, the calculation gives 0.00 μB per formula unit. As for the theoretical density: 3.9 g/cm³. The value obtained for the density of states at the Fermi level is 1.78 states/eV/cell. The energy above the most stable polymorph in this dataset is 57 meV per atom.

a b c (Å): 3.5116 5.8700 5.7547
angles (deg): 100.48 90.00 107.40
Last column: nearest neighbours and their distance in Å.
Element x y z (fractional)
H: 0.9401 0.8803 0.6235  2 Rh 1.78-1.80
H: 0.9241 0.8483 0.0413  1 Rh 1.63
Mg: 0.7955 0.5910 0.7824  4 H 1.86-2.01
H: 0.7505 0.5010 0.3418  1 Rh 1.67
H: 0.5975 0.1950 0.7304  2 Rh 1.77
Rh: 0.8958 0.7917 0.3089  6 H 1.63-1.80
Rh: 0.1042 0.2083 0.6911  6 H 1.63-1.80
H: 0.4025 0.8050 0.2696  2 Rh 1.77
H: 0.0759 0.1517 0.9587  1 Rh 1.63
H: 0.2495 0.4990 0.6582  1 Rh 1.67
H: 0.0599 0.1197 0.3765  2 Rh 1.78-1.80
Mg: 0.2045 0.4090 0.2176  4 H 1.86-2.01

| no. | final energy (eV for the cell shown) |
| --- | --- |
| 1 | -53.55 |
| 2 | -55.75 |
| 3 | -54.50 |
| 4 | -36.74 |
| 5 | -24.69 |
| 6 | -46.56 |